Compound: Y14ErIn
Source: Alexandria via LeMat-Bulk
Functional: PBE
Structure: relaxed

It has space group P4/mmm (No. 123), with a = 7.074 Å, b = 7.074 Å, c = 10.063 Å, α = 90.00°, β = 90.00° and γ = 90.00°. Symmetry generates all atoms from Y at (0.000, 0.000, 0.000), Y at (0.000, 0.500, 0.000), Y at (0.000, 0.500, 0.500), Y at (0.250, 0.250, 0.254), Y at (0.500, 0.500, 0.000), Er at (0.000, 0.000, 0.500) and In at (0.500, 0.500, 0.500).

The calculated formation energy is -0.422 eV/f.u. The value obtained for the total energy is -6.139 eV/atom.